[1]
Compound: NbTc3S
Source: Alexandria via LeMat-Bulk
Functional: GGA-PBE
Structure: relaxed

Calculated values
excess energy over the best structure of this formula in the dataset	0.000	eV/f.u.
uncorrected formation energy	312	meV per atom
space-group type	Pm-3m, No. 221

Unit cell a=4.3332 b=4.3332 c=4.3332 alpha=90.00 beta=90.00 gamma=90.00
Element x y z (fractional)
Nb: 0.5000 0.5000 0.5000
Tc: 0.0000 0.0000 0.5000
Tc: 0.0000 0.5000 0.0000
Tc: 0.5000 0.0000 0.0000
S: 0.0000 0.0000 0.0000


[2]
Compound: Sm4GaPd2
Source: Alexandria via LeMat-Bulk
Functional: GGA-PBE
Structure: relaxed

Calculated values
space-group type	R-3m, No. 166
DFT formation energy	-0.53	eV/atom

Unit cell a=4.8902 b=4.8902 c=9.6072 alpha=75.26 beta=75.26 gamma=60.00
Element x y z (fractional)
Pd: 0.5964 0.5964 0.2108
Pd: 0.4036 0.4036 0.7892
Sm: 0.8788 0.8788 0.3637
Sm: 0.1212 0.1212 0.6363
Sm: 0.7060 0.7060 0.8820
Sm: 0.2940 0.2940 0.1180
Ga: 0.5000 0.5000 0.5000


[3]
Compound: LiReNi2
Source: Alexandria via LeMat-Bulk
Functional: GGA-PBE
Structure: relaxed

Calculated values
excess energy over the best structure of this formula in the dataset	0.736	eV/f.u.
space-group type	Fm-3m, No. 225
DFT formation energy	0.19	eV/atom

Unit cell a=4.0888 b=4.0888 c=4.0888 alpha=60.00 beta=60.00 gamma=60.00
Element x y z (fractional)
Re: 0.5000 0.5000 0.5000
Ni: 0.2500 0.2500 0.2500
Ni: 0.7500 0.7500 0.7500
Li: 0.0000 0.0000 0.0000


[4]
Compound: NaPm3Te6
Source: Alexandria via LeMat-Bulk
Functional: GGA-PBE
Structure: relaxed

Calculated values
uncorrected formation energy	-1118	meV per atom
space-group type	Cmc2_1, No. 36

Unit cell a=8.1055 b=9.2709 c=9.2709 alpha=96.35 beta=90.00 gamma=90.00
Element x y z (fractional)
Te: 0.6359 0.2386 0.7614
Te: 0.1768 0.3779 0.2933
Te: 0.1768 0.7067 0.6221
Te: 0.6768 0.6221 0.7067
Te: 0.7224 0.5372 0.0912
Te: 0.2224 0.0912 0.5372
Te: 0.7224 0.9088 0.4628
Te: 0.2224 0.4628 0.9088
Te: 0.2220 0.0119 0.9881
Te: 0.6768 0.2933 0.3779
Te: 0.7220 0.9881 0.0119
Te: 0.1359 0.7614 0.2386
Pm: 0.9781 0.7248 0.9232
Pm: 0.4781 0.2752 0.0768
Pm: 0.9781 0.0768 0.2752
Pm: 0.8741 0.5957 0.4043
Pm: 0.4781 0.9232 0.7248
Pm: 0.3741 0.4043 0.5957
Na: 0.4989 0.8042 0.1958
Na: 0.9989 0.1958 0.8042


[5]
Compound: BeCd2Hg
Source: Alexandria via LeMat-Bulk
Functional: GGA-PBE
Structure: relaxed

Calculated values
excess energy over the best structure of this formula in the dataset	0.447	eV/f.u.
space-group type	P2/m, No. 10
DFT formation energy	0.32	eV/atom

Unit cell a=4.4742 b=3.5455 c=5.7511 alpha=62.79 beta=90.00 gamma=90.00
Element x y z (fractional)
Be: 0.5000 0.7500 0.7500
Hg: 0.5000 0.2500 0.2500
Cd: 0.0000 0.8408 0.9760
Cd: 0.0000 0.6592 0.5240


[6]
Compound: SmSc2O
Source: Alexandria via LeMat-Bulk
Functional: GGA-PBE
Structure: relaxed

Calculated values
excess energy over the best structure of this formula in the dataset	0.000	eV/f.u.
uncorrected formation energy	-1389	meV per atom
space-group type	R-3m, No. 166

Unit cell a=3.2904 b=3.2904 c=8.6335 alpha=79.01 beta=79.01 gamma=60.00
Element x y z (fractional)
Sc: 0.7159 0.7159 0.8524
Sc: 0.2841 0.2841 0.1476
Sm: 0.5000 0.5000 0.5000
O: 0.0000 0.0000 0.0000


[7]
Compound: RbNaPb2Br6
Source: Alexandria via LeMat-Bulk
Functional: GGA-PBE
Structure: relaxed

Calculated values
uncorrected formation energy	-1209	meV per atom
space-group type	P1, No. 1

Unit cell a=7.9471 b=7.9474 c=8.3517 alpha=61.56 beta=61.57 gamma=59.94
Element x y z (fractional)
Rb: 0.7993 0.7995 0.6016
Br: 0.2421 0.9110 0.2351
Br: 0.9111 0.6120 0.2351
Br: 0.3583 0.7281 0.7468
Br: 0.6118 0.2424 0.2348
Br: 0.7284 0.1664 0.7469
Br: 0.1668 0.3583 0.7469
Pb: 0.5175 0.5175 0.4477
Pb: 0.0087 0.0089 0.9737
Na: 0.3177 0.3176 0.0467


[8]
Compound: MgBeSi2
Source: Alexandria via LeMat-Bulk
Functional: GGA-PBE
Structure: relaxed

Calculated values
excess energy over the best structure of this formula in the dataset	0.681	eV/f.u.
uncorrected formation energy	271	meV per atom
space-group type	Pmm2, No. 25

Unit cell a=4.3276 b=2.8121 c=4.8049 alpha=89.99 beta=90.00 gamma=90.00
Element x y z (fractional)
Be: 0.0000 0.2507 0.4978
Mg: 0.5000 0.7499 0.7463
Si: 0.5000 0.2496 0.2602
Si: 0.0000 0.2498 0.9956


[9]
Compound: Ca2CoAsSe
Source: Alexandria via LeMat-Bulk
Functional: GGA-PBE
Structure: relaxed

Calculated values
uncorrected formation energy	-724	meV per atom
space-group type	P4/mmm, No. 123

Unit cell a=5.4143 b=4.2184 c=5.4143 alpha=90.00 beta=90.00 gamma=90.00
Element x y z (fractional)
Ca: 0.0000 0.0000 0.5000
Ca: 0.5000 0.0000 0.0000
Co: 0.0000 0.0000 0.0000
Se: 0.5000 0.5000 0.5000
As: 0.0000 0.5000 0.0000


The records above give, respectively, density of states at the Fermi level values of 1.276, 0.742, 0.494, 0.518, 0.277, 1.019, 0.000, 0.443, 0.375 states/eV per atom.
The records above give, respectively, M_tot values of 0.0, 0.0, 0.0, 0.0, 0.0, 0.0, 0.0, 0.0, 0.0 μB per formula unit.